The following is a PBE calculation of a relaxed LaAlMo crystal, from OQMD.

The calculation puts the energy relative to the lowest polymorph listed for this composition at 2.032 eV per formula unit.

It has space group F-43m (No. 216), with a = 6.9972 Å, b = 6.9972 Å, c = 6.9972 Å, α = 90.00°, β = 90.00° and γ = 90.00°. The asymmetric unit holds La at (0.0000, 0.0000, 0.0000), Al at (0.2500, 0.2500, 0.7500) and Mo at (0.2500, 0.2500, 0.2500).



The following is a PBE calculation of a relaxed LaAlMo crystal, from OQMD.

The calculation puts the energy relative to the lowest polymorph listed for this composition at 0.000 eV per formula unit.

It has space group F-43m (No. 216), with a = 6.6664 Å, b = 6.6664 Å, c = 6.6664 Å, α = 90.00°, β = 90.00° and γ = 90.00°. The asymmetric unit holds La at (0.0000, 0.0000, 0.0000), Al at (0.2500, 0.2500, 0.2500) and Mo at (0.0000, 0.0000, 0.5000).



The following is a PBE calculation of a relaxed NaLaAl4Pd2 crystal, from OQMD.

Its total energy is -36.09 eV/f.u.

It has space group Amm2 (No. 38), with a = 7.2462 Å, b = 4.3473 Å, c = 10.0939 Å, α = 90.00°, β = 90.00° and γ = 90.00°. The asymmetric unit holds Na at (0.0000, 0.0000, 0.0000), La at (0.5000, 0.0000, 0.1294), Al at (0.1864, 0.0000, 0.7217), Al at (0.2944, 0.0000, 0.4156), Pd at (0.0000, 0.0000, 0.2763) and Pd at (0.5000, 0.0000, 0.8512).



The following is a PBE calculation of a relaxed LaNdAl4 crystal, from OQMD.

Its total energy is -25.75 eV/f.u.

It has space group Pmma (No. 51), with a = 8.8277 Å, b = 4.4039 Å, c = 7.4160 Å, α = 90.00°, β = 90.00° and γ = 90.00°. The asymmetric unit holds La at (0.2500, 0.0000, 0.1900), Nd at (0.2500, 0.0000, 0.7737), Al at (0.0000, 0.0000, 0.5000), Al at (0.0076, 0.5000, 0.7729) and Al at (0.2500, 0.5000, 0.4883).



The following is a PBE calculation of a relaxed La3NdAl4 crystal, from OQMD.

Its total energy is -37.79 eV/f.u.

It has space group Pm (No. 6), with a = 6.0862 Å, b = 5.7501 Å, c = 6.0952 Å, α = 90.00°, β = 101.26° and γ = 90.00°. The asymmetric unit holds La at (0.0000, 0.0000, 0.0000), La at (0.3158, 0.5000, 0.0314), La at (0.6704, 0.5000, 0.6741), Nd at (0.6396, 0.0000, 0.3555), Al at (0.1568, 0.2498, 0.5143), Al at (0.4620, 0.0000, 0.8174) and Al at (0.8523, 0.5000, 0.2129).



The following is a PBE calculation of a relaxed LaNd3Al4 crystal, from OQMD.

Its total energy is -37.39 eV/f.u.

It has space group Pm (No. 6), with a = 6.0353 Å, b = 5.7366 Å, c = 6.0397 Å, α = 90.00°, β = 101.04° and γ = 90.00°. The asymmetric unit holds La at (0.0000, 0.0000, 0.0000), Nd at (0.3209, 0.5000, 0.3222), Nd at (0.3596, 0.0000, 0.6434), Nd at (0.6791, 0.5000, 0.9614), Al at (0.1435, 0.5000, 0.7844), Al at (0.5361, 0.0000, 0.1802) and Al at (0.8391, 0.2501, 0.4819).



The following is a PBE calculation of a relaxed LaNdAl4Ni2 crystal, from OQMD.

Its total energy is -40.49 eV/f.u.

It has space group Amm2 (No. 38), with a = 6.9571 Å, b = 4.0843 Å, c = 10.9364 Å, α = 90.00°, β = 90.00° and γ = 90.00°. The asymmetric unit holds La at (0.0000, 0.0000, 0.0000), Nd at (0.5000, 0.0000, 0.8930), Al at (0.1950, 0.0000, 0.2776), Al at (0.3092, 0.0000, 0.6163), Ni at (0.0000, 0.0000, 0.7268) and Ni at (0.5000, 0.0000, 0.1653).



The following is a PBE calculation of a relaxed La2NdAl2Ni4 crystal, from OQMD.

Its total energy is -48.76 eV/f.u.

It has space group C2/m (No. 12), with a = 10.2188 Å, b = 4.1922 Å, c = 8.3707 Å, α = 90.00°, β = 98.65° and γ = 90.00°. The asymmetric unit holds La at (0.1241, 0.0000, 0.3787), Nd at (0.0000, 0.5000, 0.0000), Al at (0.1778, 0.0000, 0.7921), Ni at (0.0860, 0.5000, 0.6411) and Ni at (0.2363, 0.0000, 0.0871).



The following is a PBE calculation of a relaxed LaNdAl2Ni4 crystal, from OQMD.

The calculation puts the energy relative to the lowest polymorph listed for this composition at 0.000 eV per formula unit.

It has space group P-6m2 (No. 187), with a = 4.1889 Å, b = 4.1889 Å, c = 9.4266 Å, α = 90.00°, β = 90.00° and γ = 120.00°. The asymmetric unit holds La at (0.0000, 0.0000, 0.0000), Nd at (0.6667, 0.3333, 0.5000), Al at (0.3333, 0.6667, 0.2553), Ni at (0.0000, 0.0000, 0.3037) and Ni at (0.6667, 0.3333, 0.1989).



The following is a PBE calculation of a relaxed LaNdAl2Pd4 crystal, from OQMD.

Its total energy is -44.98 eV/f.u.

It has space group P-6m2 (No. 187), with a = 4.4251 Å, b = 4.4251 Å, c = 9.5874 Å, α = 90.00°, β = 90.00° and γ = 120.00°. The asymmetric unit holds La at (0.0000, 0.0000, 0.0000), Nd at (0.3333, 0.6667, 0.5000), Al at (0.6667, 0.3333, 0.2551), Pd at (0.0000, 0.0000, 0.3235) and Pd at (0.3333, 0.6667, 0.1811).



The following is a PBE calculation of a relaxed LaNdAl2Pt4 crystal, from OQMD.

Its total energy is -50.32 eV/f.u.

It has space group P-6m2 (No. 187), with a = 4.3945 Å, b = 4.3945 Å, c = 9.8176 Å, α = 90.00°, β = 90.00° and γ = 120.00°. The asymmetric unit holds La at (0.0000, 0.0000, 0.0000), Nd at (0.3333, 0.6667, 0.5000), Al at (0.6667, 0.3333, 0.2545), Pt at (0.0000, 0.0000, 0.3236) and Pt at (0.3333, 0.6667, 0.1831).



The following is a PBE calculation of a relaxed LaNdAl2Zn2 crystal, from OQMD.

Its total energy is -22.29 eV/f.u.

It has space group P3m1 (No. 156), with a = 4.5872 Å, b = 4.5872 Å, c = 7.6386 Å, α = 90.00°, β = 90.00° and γ = 120.00°. The asymmetric unit holds La at (0.0000, 0.0000, 0.0000), Nd at (0.0000, 0.0000, 0.5005), Al at (0.3333, 0.6667, 0.2814), Al at (0.6667, 0.3333, 0.7672), Zn at (0.3333, 0.6667, 0.7055) and Zn at (0.6667, 0.3333, 0.2237).



The following is a PBE calculation of a relaxed LaAl3Ni crystal, from OQMD.

Its total energy is -24.52 eV/f.u.

It has space group I4mm (No. 107), with a = 4.3031 Å, b = 4.3031 Å, c = 10.4533 Å, α = 90.00°, β = 90.00° and γ = 90.00°. The asymmetric unit holds La at (0.0000, 0.0000, 0.0000), Al at (0.0000, 0.0000, 0.5893), Al at (0.0000, 0.5000, 0.2538) and Ni at (0.0000, 0.0000, 0.3611).



The following is a PBE calculation of a relaxed LaAl5NiPd crystal, from OQMD.

Its total energy is -39.69 eV/f.u.

It has space group Imm2 (No. 44), with a = 4.0827 Å, b = 7.2019 Å, c = 9.7976 Å, α = 90.00°, β = 90.00° and γ = 90.00°. The asymmetric unit holds La at (0.0000, 0.0000, 0.0000), Al at (0.0000, 0.1833, 0.6619), Al at (0.0000, 0.1952, 0.3532), Al at (0.0000, 0.5000, 0.0129), Ni at (0.0000, 0.5000, 0.2470) and Pd at (0.0000, 0.5000, 0.7671).



The following is a PBE calculation of a relaxed La2Al2NiPd3 crystal, from OQMD.

Its total energy is -44.78 eV/f.u.

It has space group P3m1 (No. 156), with a = 4.3879 Å, b = 4.3879 Å, c = 9.7901 Å, α = 90.00°, β = 90.00° and γ = 120.00°. The asymmetric unit holds La at (0.0000, 0.0000, 0.0000), La at (0.3333, 0.6667, 0.4876), Al at (0.6667, 0.3333, 0.2372), Al at (0.6667, 0.3333, 0.7435), Ni at (0.3333, 0.6667, 0.1864), Pd at (0.0000, 0.0000, 0.3048), Pd at (0.0000, 0.0000, 0.6753) and Pd at (0.3333, 0.6667, 0.8115).



The following is a PBE calculation of a relaxed La2Al2Ni3Pd crystal, from OQMD.

Its total energy is -44.13 eV/f.u.

It has space group P3m1 (No. 156), with a = 4.2634 Å, b = 4.2634 Å, c = 9.6656 Å, α = 90.00°, β = 90.00° and γ = 120.00°. The asymmetric unit holds La at (0.0000, 0.0000, 0.0000), La at (0.3333, 0.6667, 0.5133), Al at (0.6667, 0.3333, 0.2669), Al at (0.6667, 0.3333, 0.7575), Ni at (0.0000, 0.0000, 0.3146), Ni at (0.0000, 0.0000, 0.7115), Ni at (0.3333, 0.6667, 0.8051) and Pd at (0.3333, 0.6667, 0.1954).



The following is a PBE calculation of a relaxed LaPrAl4Ni2 crystal, from OQMD.

Its total energy is -40.47 eV/f.u.

It has space group Amm2 (No. 38), with a = 6.9442 Å, b = 4.0781 Å, c = 11.0284 Å, α = 90.00°, β = 90.00° and γ = 90.00°. The asymmetric unit holds La at (0.0000, 0.0000, 0.0000), Pr at (0.5000, 0.0000, 0.8940), Al at (0.1941, 0.0000, 0.2765), Al at (0.3088, 0.0000, 0.6180), Ni at (0.0000, 0.0000, 0.7273) and Ni at (0.5000, 0.0000, 0.1658).



The following is a PBE calculation of a relaxed LaAl2NiPt crystal, from OQMD.

Its total energy is -28.37 eV/f.u.

It has space group P4/nmm (No. 129, origin choice 2), with a = 4.3524 Å, b = 4.3524 Å, c = 9.8919 Å, α = 90.00°, β = 90.00° and γ = 90.00°. The asymmetric unit holds La at (0.2500, 0.2500, 0.2365), Al at (0.2500, 0.2500, 0.8923), Al at (0.2500, 0.7500, 0.5000), Ni at (0.2500, 0.7500, 0.0000) and Pt at (0.2500, 0.2500, 0.6364).



The following is a PBE calculation of a relaxed La3AlNiS7 crystal, from OQMD.

Its total energy is -72.68 eV/f.u.

It has space group P6_3 (No. 173), with a = 10.0720 Å, b = 10.0720 Å, c = 6.1485 Å, α = 90.00°, β = 90.00° and γ = 120.00°. The asymmetric unit holds La at (0.1458, 0.3732, 0.0000), Al at (0.3333, 0.6667, 0.4232), Ni at (0.0000, 0.0000, 0.3074), S at (0.0884, 0.2225, 0.5666), S at (0.0970, 0.5763, 0.2797) and S at (0.3333, 0.6667, 0.7863).



The following is a PBE calculation of a relaxed LaScAl4Ni2 crystal, from OQMD.

Its total energy is -41.92 eV/f.u.

It has space group Amm2 (No. 38), with a = 6.9703 Å, b = 4.0807 Å, c = 10.0039 Å, α = 90.00°, β = 90.00° and γ = 90.00°. The asymmetric unit holds La at (0.0000, 0.0000, 0.0000), Sc at (0.5000, 0.0000, 0.8799), Al at (0.2095, 0.0000, 0.2857), Al at (0.3129, 0.0000, 0.5998), Ni at (0.0000, 0.0000, 0.7221) and Ni at (0.5000, 0.0000, 0.1525).